Below is Ca2LaCl after structural relaxation, with properties calculated at the PBE level.

Values from the calculation:
formation energy from raw total energies	-0.238	eV/atom
raw total energy	-11.73	eV/cell
polymorph energy (0 for the lowest one)	572.1	meV/atom
total magnetization	0.0	μB per formula unit

Structure (POSCAR):
```
Ca2LaCl
1.0
-2.3826 2.3826 6.3779
2.3826 -2.3826 6.3779
2.3826 2.3826 -6.3779
Ca La Cl
2 1 1
Direct
0.0000 0.0000 0.0000
0.7500 0.2500 0.5000
0.5000 0.5000 0.0000
0.2500 0.7500 0.5000
```